## 1
# PBE ZrHgP, relaxed
# Total magnetic moment: 0.00 μB per cell
# Calculated volume: 127.0 Å³/cell
data_ZrHgP
_space_group_name_H-M_alt 'P 1'
_space_group_IT_number 1
_cell_length_a 3.442
_cell_length_b 3.442
_cell_length_c 10.720
_cell_angle_alpha 90.00
_cell_angle_beta 90.00
_cell_angle_gamma 90.00
loop_
_space_group_symop_operation_xyz
'x,y,z'
loop_
_atom_site_label
_atom_site_type_symbol
_atom_site_fract_x
_atom_site_fract_y
_atom_site_fract_z
_atom_site_occupancy
Zr1 Zr 0.000 0.000 0.000 1
Zr2 Zr 0.500 0.500 0.500 1
Hg1 Hg 0.000 0.000 0.293 1
Hg2 Hg 0.500 0.500 0.793 1
P1 P 0.000 0.000 0.588 1
P2 P 0.500 0.500 0.088 1

=====

## 2
# PBE ZrHgP, relaxed
# Total magnetic moment: 0.00 μB per cell
# Calculated volume: 278.7 Å³/cell
data_ZrHgP
_space_group_name_H-M_alt 'P 1'
_space_group_IT_number 1
_cell_length_a 6.532
_cell_length_b 6.532
_cell_length_c 6.532
_cell_angle_alpha 90.00
_cell_angle_beta 90.00
_cell_angle_gamma 90.00
loop_
_space_group_symop_operation_xyz
'x,y,z'
loop_
_atom_site_label
_atom_site_type_symbol
_atom_site_fract_x
_atom_site_fract_y
_atom_site_fract_z
_atom_site_occupancy
Zr1 Zr 0.000 0.000 0.000 1
Zr2 Zr 0.000 0.500 0.500 1
Zr3 Zr 0.500 0.000 0.500 1
Zr4 Zr 0.500 0.500 0.000 1
Hg1 Hg 0.250 0.250 0.250 1
Hg2 Hg 0.250 0.750 0.750 1
Hg3 Hg 0.750 0.250 0.750 1
Hg4 Hg 0.750 0.750 0.250 1
P1 P 0.250 0.250 0.750 1
P2 P 0.250 0.750 0.250 1
P3 P 0.750 0.250 0.250 1
P4 P 0.750 0.750 0.750 1

=====

## 3
# PBE ZrHgP, relaxed
# Total magnetic moment: 0.00 μB per cell
# Calculated volume: 68.9 Å³/cell
data_ZrHgP
_space_group_name_H-M_alt 'P 1'
_space_group_IT_number 1
_cell_length_a 3.842
_cell_length_b 3.842
_cell_length_c 5.390
_cell_angle_alpha 90.00
_cell_angle_beta 90.00
_cell_angle_gamma 120.00
loop_
_space_group_symop_operation_xyz
'x,y,z'
loop_
_atom_site_label
_atom_site_type_symbol
_atom_site_fract_x
_atom_site_fract_y
_atom_site_fract_z
_atom_site_occupancy
Zr1 Zr 0.000 0.000 0.000 1
Hg1 Hg 0.333 0.667 0.409 1
P1 P 0.667 0.333 0.774 1

=====

## 4
# PBE ZrHgP, relaxed
# Total magnetic moment: 0.00 μB per cell
# Calculated volume: 253.8 Å³/cell
data_ZrHgP
_space_group_name_H-M_alt 'P 1'
_space_group_IT_number 1
_cell_length_a 6.331
_cell_length_b 6.331
_cell_length_c 6.331
_cell_angle_alpha 90.00
_cell_angle_beta 90.00
_cell_angle_gamma 90.00
loop_
_space_group_symop_operation_xyz
'x,y,z'
loop_
_atom_site_label
_atom_site_type_symbol
_atom_site_fract_x
_atom_site_fract_y
_atom_site_fract_z
_atom_site_occupancy
Zr1 Zr 0.000 0.000 0.000 1
Zr2 Zr 0.000 0.500 0.500 1
Zr3 Zr 0.500 0.000 0.500 1
Zr4 Zr 0.500 0.500 0.000 1
Hg1 Hg 0.000 0.000 0.500 1
Hg2 Hg 0.000 0.500 0.000 1
Hg3 Hg 0.500 0.000 0.000 1
Hg4 Hg 0.500 0.500 0.500 1
P1 P 0.250 0.250 0.750 1
P2 P 0.250 0.750 0.250 1
P3 P 0.750 0.250 0.250 1
P4 P 0.750 0.750 0.750 1

=====

Last place for stability: 2

=====

## 1
# PBE ZrHgP3, relaxed
# Total magnetic moment: 0.00 μB per cell
# Calculated volume: 114.3 Å³/cell
data_ZrHgP3
_space_group_name_H-M_alt 'P 1'
_space_group_IT_number 1
_cell_length_a 4.854
_cell_length_b 4.854
_cell_length_c 4.854
_cell_angle_alpha 90.00
_cell_angle_beta 90.00
_cell_angle_gamma 90.00
loop_
_space_group_symop_operation_xyz
'x,y,z'
loop_
_atom_site_label
_atom_site_type_symbol
_atom_site_fract_x
_atom_site_fract_y
_atom_site_fract_z
_atom_site_occupancy
Zr1 Zr 0.000 0.000 0.000 1
Hg1 Hg 0.500 0.500 0.500 1
P1 P 0.000 0.500 0.500 1
P2 P 0.500 0.000 0.500 1
P3 P 0.500 0.500 0.000 1

=====

## 2
# PBE ZrHgP3, relaxed
# Total magnetic moment: 0.00 μB per cell
# Calculated volume: 128.7 Å³/cell
data_ZrHgP3
_space_group_name_H-M_alt 'P 1'
_space_group_IT_number 1
_cell_length_a 5.048
_cell_length_b 5.048
_cell_length_c 5.048
_cell_angle_alpha 90.00
_cell_angle_beta 90.00
_cell_angle_gamma 90.00
loop_
_space_group_symop_operation_xyz
'x,y,z'
loop_
_atom_site_label
_atom_site_type_symbol
_atom_site_fract_x
_atom_site_fract_y
_atom_site_fract_z
_atom_site_occupancy
Zr1 Zr 0.000 0.000 0.000 1
Hg1 Hg 0.500 0.500 0.500 1
P1 P 0.000 0.000 0.500 1
P2 P 0.000 0.500 0.000 1
P3 P 0.500 0.000 0.000 1

=====

Last place for stability: 1

=====

## 1
# PBE ZrHg3P, relaxed
# Total magnetic moment: 0.00 μB per cell
# Calculated volume: 123.5 Å³/cell
data_ZrHg3P
_space_group_name_H-M_alt 'P 1'
_space_group_IT_number 1
_cell_length_a 4.979
_cell_length_b 4.979
_cell_length_c 4.979
_cell_angle_alpha 90.00
_cell_angle_beta 90.00
_cell_angle_gamma 90.00
loop_
_space_group_symop_operation_xyz
'x,y,z'
loop_
_atom_site_label
_atom_site_type_symbol
_atom_site_fract_x
_atom_site_fract_y
_atom_site_fract_z
_atom_site_occupancy
Zr1 Zr 0.000 0.000 0.000 1
Hg1 Hg 0.000 0.500 0.500 1
Hg2 Hg 0.500 0.000 0.500 1
Hg3 Hg 0.500 0.500 0.000 1
P1 P 0.500 0.500 0.500 1

=====

## 2
# PBE ZrHg3P, relaxed
# Total magnetic moment: 0.00 μB per cell
# Calculated volume: 168.6 Å³/cell
data_ZrHg3P
_space_group_name_H-M_alt 'P 1'
_space_group_IT_number 1
_cell_length_a 5.524
_cell_length_b 5.524
_cell_length_c 5.524
_cell_angle_alpha 90.00
_cell_angle_beta 90.00
_cell_angle_gamma 90.00
loop_
_space_group_symop_operation_xyz
'x,y,z'
loop_
_atom_site_label
_atom_site_type_symbol
_atom_site_fract_x
_atom_site_fract_y
_atom_site_fract_z
_atom_site_occupancy
Zr1 Zr 0.000 0.000 0.000 1
Hg1 Hg 0.000 0.000 0.500 1
Hg2 Hg 0.000 0.500 0.000 1
Hg3 Hg 0.500 0.000 0.000 1
P1 P 0.500 0.500 0.500 1

=====

Last place for stability: 2

=====

## 1
# PBE PaHg2, relaxed
# Total magnetic moment: 2.55 μB per cell
# Calculated volume: 144.4 Å³/cell
data_PaHg2
_space_group_name_H-M_alt 'P 1'
_space_group_IT_number 1
_cell_length_a 3.285
_cell_length_b 3.285
_cell_length_c 13.380
_cell_angle_alpha 90.00
_cell_angle_beta 90.00
_cell_angle_gamma 90.00
loop_
_space_group_symop_operation_xyz
'x,y,z'
loop_
_atom_site_label
_atom_site_type_symbol
_atom_site_fract_x
_atom_site_fract_y
_atom_site_fract_z
_atom_site_occupancy
Pa1 Pa 0.000 0.000 0.000 1
Pa2 Pa 0.500 0.500 0.500 1
Hg1 Hg 0.000 0.000 0.329 1
Hg2 Hg 0.000 0.000 0.671 1
Hg3 Hg 0.500 0.500 0.171 1
Hg4 Hg 0.500 0.500 0.829 1

=====

## 2
# PBE PaHg2, relaxed
# Total magnetic moment: 3.81 μB per cell
# Calculated volume: 147.3 Å³/cell
data_PaHg2
_space_group_name_H-M_alt 'P 1'
_space_group_IT_number 1
_cell_length_a 5.928
_cell_length_b 5.928
_cell_length_c 5.928
_cell_angle_alpha 60.00
_cell_angle_beta 60.00
_cell_angle_gamma 60.00
loop_
_space_group_symop_operation_xyz
'x,y,z'
loop_
_atom_site_label
_atom_site_type_symbol
_atom_site_fract_x
_atom_site_fract_y
_atom_site_fract_z
_atom_site_occupancy
Pa1 Pa 0.125 0.125 0.125 1
Pa2 Pa 0.875 0.875 0.875 1
Hg1 Hg 0.000 0.500 0.500 1
Hg2 Hg 0.500 0.000 0.500 1
Hg3 Hg 0.500 0.500 0.000 1
Hg4 Hg 0.500 0.500 0.500 1

=====

Last place for stability: 2

=====

## 1
# PBE PaHgPb2, relaxed
# Total magnetic moment: 0.46 μB per cell
# Calculated volume: 344.1 Å³/cell
data_PaHgPb2
_space_group_name_H-M_alt 'P 1'
_space_group_IT_number 1
_cell_length_a 3.321
_cell_length_b 3.321
_cell_length_c 36.031
_cell_angle_alpha 90.00
_cell_angle_beta 90.00
_cell_angle_gamma 120.00
loop_
_space_group_symop_operation_xyz
'x,y,z'
loop_
_atom_site_label
_atom_site_type_symbol
_atom_site_fract_x
_atom_site_fract_y
_atom_site_fract_z
_atom_site_occupancy
Pa1 Pa 0.000 0.000 0.000 1
Pa2 Pa 0.333 0.667 0.667 1
Pa3 Pa 0.667 0.333 0.333 1
Hg1 Hg 0.000 0.000 0.500 1
Hg2 Hg 0.333 0.667 0.167 1
Hg3 Hg 0.667 0.333 0.833 1
Pb1 Pb 0.000 0.000 0.091 1
Pb2 Pb 0.000 0.000 0.909 1
Pb3 Pb 0.333 0.667 0.576 1
Pb4 Pb 0.333 0.667 0.757 1
Pb5 Pb 0.667 0.333 0.243 1
Pb6 Pb 0.667 0.333 0.424 1

=====

## 2
# PBE PaHgPb2, relaxed
# Total magnetic moment: 0.00 μB per cell
# Calculated volume: 106.1 Å³/cell
data_PaHgPb2
_space_group_name_H-M_alt 'P 1'
_space_group_IT_number 1
_cell_length_a 4.857
_cell_length_b 4.857
_cell_length_c 4.497
_cell_angle_alpha 90.00
_cell_angle_beta 90.00
_cell_angle_gamma 90.00
loop_
_space_group_symop_operation_xyz
'x,y,z'
loop_
_atom_site_label
_atom_site_type_symbol
_atom_site_fract_x
_atom_site_fract_y
_atom_site_fract_z
_atom_site_occupancy
Pa1 Pa 0.000 0.000 0.000 1
Hg1 Hg 0.500 0.500 0.000 1
Pb1 Pb 0.000 0.500 0.500 1
Pb2 Pb 0.500 0.000 0.500 1

=====

Last place for stability: 1

=====

## 1
# PBE PaHgPb, relaxed
# Total magnetic moment: 1.88 μB per cell
# Calculated volume: 159.8 Å³/cell
data_PaHgPb
_space_group_name_H-M_alt 'P 1'
_space_group_IT_number 1
_cell_length_a 3.261
_cell_length_b 3.261
_cell_length_c 15.031
_cell_angle_alpha 90.00
_cell_angle_beta 90.00
_cell_angle_gamma 90.00
loop_
_space_group_symop_operation_xyz
'x,y,z'
loop_
_atom_site_label
_atom_site_type_symbol
_atom_site_fract_x
_atom_site_fract_y
_atom_site_fract_z
_atom_site_occupancy
Pa1 Pa 0.000 0.000 0.000 1
Pa2 Pa 0.500 0.500 0.500 1
Hg1 Hg 0.000 0.000 0.343 1
Hg2 Hg 0.500 0.500 0.843 1
Pb1 Pb 0.000 0.000 0.670 1
Pb2 Pb 0.500 0.500 0.170 1

=====

## 2
# PBE PaHgPb, relaxed
# Total magnetic moment: 0.00 μB per cell
# Calculated volume: 158.7 Å³/cell
data_PaHgPb
_space_group_name_H-M_alt 'P 1'
_space_group_IT_number 1
_cell_length_a 4.065
_cell_length_b 4.065
_cell_length_c 9.603
_cell_angle_alpha 90.00
_cell_angle_beta 90.00
_cell_angle_gamma 90.00
loop_
_space_group_symop_operation_xyz
'x,y,z'
loop_
_atom_site_label
_atom_site_type_symbol
_atom_site_fract_x
_atom_site_fract_y
_atom_site_fract_z
_atom_site_occupancy
Pa1 Pa 0.250 0.250 0.060 1
Pa2 Pa 0.750 0.750 0.940 1
Hg1 Hg 0.250 0.250 0.411 1
Hg2 Hg 0.750 0.750 0.589 1
Pb1 Pb 0.250 0.250 0.736 1
Pb2 Pb 0.750 0.750 0.264 1

=====

## 3
# PBE PaHgPb, relaxed
# Total magnetic moment: 1.22 μB per cell
# Calculated volume: 79.2 Å³/cell
data_PaHgPb
_space_group_name_H-M_alt 'P 1'
_space_group_IT_number 1
_cell_length_a 5.235
_cell_length_b 5.235
_cell_length_c 3.337
_cell_angle_alpha 90.00
_cell_angle_beta 90.00
_cell_angle_gamma 120.00
loop_
_space_group_symop_operation_xyz
'x,y,z'
loop_
_atom_site_label
_atom_site_type_symbol
_atom_site_fract_x
_atom_site_fract_y
_atom_site_fract_z
_atom_site_occupancy
Pa1 Pa 0.000 0.000 0.000 1
Hg1 Hg 0.667 0.333 0.337 1
Pb1 Pb 0.333 0.667 0.561 1

=====

Last place for stability: 1

=====

## 1
# PBE PaHg2Pd8, relaxed
# Total magnetic moment: 0.00 μB per cell
# Calculated volume: 196.2 Å³/cell
data_PaHg2Pd8
_space_group_name_H-M_alt 'P 1'
_space_group_IT_number 1
_cell_length_a 7.488
_cell_length_b 7.488
_cell_length_c 6.909
_cell_angle_alpha 115.46
_cell_angle_beta 115.46
_cell_angle_gamma 34.55
loop_
_space_group_symop_operation_xyz
'x,y,z'
loop_
_atom_site_label
_atom_site_type_symbol
_atom_site_fract_x
_atom_site_fract_y
_atom_site_fract_z
_atom_site_occupancy
Pa1 Pa 0.000 0.000 0.000 1
Hg1 Hg 0.303 0.303 0.324 1
Hg2 Hg 0.697 0.697 0.676 1
Pd1 Pd 0.130 0.130 0.421 1
Pd2 Pd 0.157 0.157 0.884 1
Pd3 Pd 0.347 0.347 0.834 1
Pd4 Pd 0.489 0.489 0.279 1
Pd5 Pd 0.511 0.511 0.721 1
Pd6 Pd 0.653 0.653 0.166 1
Pd7 Pd 0.843 0.843 0.116 1
Pd8 Pd 0.870 0.870 0.579 1

=====

## 2
# PBE PaHg2Pd8, relaxed
# Total magnetic moment: 0.00 μB per cell
# Calculated volume: 198.7 Å³/cell
data_PaHg2Pd8
_space_group_name_H-M_alt 'P 1'
_space_group_IT_number 1
_cell_length_a 7.530
_cell_length_b 7.530
_cell_length_c 5.308
_cell_angle_alpha 102.96
_cell_angle_beta 102.96
_cell_angle_gamma 42.88
loop_
_space_group_symop_operation_xyz
'x,y,z'
loop_
_atom_site_label
_atom_site_type_symbol
_atom_site_fract_x
_atom_site_fract_y
_atom_site_fract_z
_atom_site_occupancy
Pa1 Pa 0.000 0.000 0.000 1
Hg1 Hg 0.211 0.211 0.427 1
Hg2 Hg 0.789 0.789 0.573 1
Pd1 Pd 0.168 0.659 0.301 1
Pd2 Pd 0.253 0.253 0.966 1
Pd3 Pd 0.341 0.832 0.699 1
Pd4 Pd 0.418 0.418 0.787 1
Pd5 Pd 0.582 0.582 0.213 1
Pd6 Pd 0.659 0.168 0.301 1
Pd7 Pd 0.747 0.747 0.034 1
Pd8 Pd 0.832 0.341 0.699 1

=====

Last place for stability: 2

=====

## 1
# PBE Pm2PaHg, relaxed
# Total magnetic moment: 0.09 μB per cell
# Calculated volume: 113.0 Å³/cell
data_Pm2PaHg
_space_group_name_H-M_alt 'P 1'
_space_group_IT_number 1
_cell_length_a 3.524
_cell_length_b 3.524
_cell_length_c 9.100
_cell_angle_alpha 90.00
_cell_angle_beta 90.00
_cell_angle_gamma 90.00
loop_
_space_group_symop_operation_xyz
'x,y,z'
loop_
_atom_site_label
_atom_site_type_symbol
_atom_site_fract_x
_atom_site_fract_y
_atom_site_fract_z
_atom_site_occupancy
Pm1 Pm 0.000 0.000 0.238 1
Pm2 Pm 0.000 0.000 0.762 1
Pa1 Pa 0.500 0.500 0.500 1
Hg1 Hg 0.500 0.500 0.000 1

=====

## 2
# PBE Pm2PaHg, relaxed
# Total magnetic moment: 0.00 μB per cell
# Calculated volume: 444.8 Å³/cell
data_Pm2PaHg
_space_group_name_H-M_alt 'P 1'
_space_group_IT_number 1
_cell_length_a 7.633
_cell_length_b 7.633
_cell_length_c 7.633
_cell_angle_alpha 90.00
_cell_angle_beta 90.00
_cell_angle_gamma 90.00
loop_
_space_group_symop_operation_xyz
'x,y,z'
loop_
_atom_site_label
_atom_site_type_symbol
_atom_site_fract_x
_atom_site_fract_y
_atom_site_fract_z
_atom_site_occupancy
Pm1 Pm 0.250 0.250 0.250 1
Pm2 Pm 0.250 0.250 0.750 1
Pm3 Pm 0.250 0.750 0.250 1
Pm4 Pm 0.250 0.750 0.750 1
Pm5 Pm 0.750 0.250 0.250 1
Pm6 Pm 0.750 0.250 0.750 1
Pm7 Pm 0.750 0.750 0.250 1
Pm8 Pm 0.750 0.750 0.750 1
Pa1 Pa 0.000 0.000 0.000 1
Pa2 Pa 0.000 0.500 0.500 1
Pa3 Pa 0.500 0.000 0.500 1
Pa4 Pa 0.500 0.500 0.000 1
Hg1 Hg 0.000 0.000 0.500 1
Hg2 Hg 0.000 0.500 0.000 1
Hg3 Hg 0.500 0.000 0.000 1
Hg4 Hg 0.500 0.500 0.500 1

=====

Last place for stability: 2